Computed, not measured: a relaxed Ta3SnB4 crystal at the PBE-GGA level of DFT.

Its space group is Pmmm, No. 47. As for the calculated volume: 12.2 Å³ per atom. Its spin magnetization is 0.003 μB per formula unit. Its total energy is -8.745 eV per atom.

```
data_Ta3SnB4
_cell_length_a 3.058
_cell_length_b 3.213
_cell_length_c 9.906
_cell_angle_alpha 90.00
_cell_angle_beta 90.00
_cell_angle_gamma 90.00
_symmetry_space_group_name_H-M 'P 1'
_symmetry_Int_Tables_number 1
_symmetry_space_group_name_Hall 'P 1'
loop_
_atom_site_label
_atom_site_type_symbol
_atom_site_fract_x
_atom_site_fract_y
_atom_site_fract_z
_atom_site_occupancy
Ta1 Ta 0.000 0.500 0.500 1
Ta2 Ta 0.500 0.500 0.774 1
Ta3 Ta 0.500 0.500 0.226 1
B1 B 0.500 0.000 0.596 1
B2 B 0.000 0.000 0.684 1
B3 B 0.500 0.000 0.404 1
B4 B 0.000 0.000 0.316 1
Sn1 Sn 0.000 0.000 0.000 1
```